(1)
Compound: YTc3
Source: Alexandria via LeMat-Bulk
Functional: PBEsol
Structure: optimized geometry

Values from the calculation:
- energy relative to the elements (meV per atom) = 583
- SG = Pm-3m

abc: 4.037 4.037 4.037
angles: 90.00 90.00 90.00
Atoms (fractional coordinates):
Y (0.000, 0.000, 0.000)
Tc (0.000, 0.500, 0.500)
Tc (0.500, 0.000, 0.500)
Tc (0.500, 0.500, 0.000)



(2)
Compound: YTc
Source: Alexandria via LeMat-Bulk
Functional: PBEsol
Structure: optimized geometry

Values from the calculation:
- energy relative to the elements (meV per atom) = 1061
- SG = Fm-3m

abc: 3.939 3.939 3.939
angles: 60.00 60.00 60.00
Atoms (fractional coordinates):
Y (0.000, 0.000, 0.000)
Tc (0.500, 0.500, 0.500)



(3)
Compound: YTc2
Source: Alexandria via LeMat-Bulk
Functional: PBEsol
Structure: optimized geometry

Values from the calculation:
- energy relative to the elements (meV per atom) = 252
- SG = P-3m1

abc: 4.327 4.327 3.360
angles: 90.00 90.00 120.00
Atoms (fractional coordinates):
Y (0.000, 0.000, 0.000)
Tc (0.333, 0.667, 0.565)
Tc (0.667, 0.333, 0.435)



(4)
Compound: YTc2
Source: Alexandria via LeMat-Bulk
Functional: PBEsol
Structure: optimized geometry

Values from the calculation:
- energy relative to the elements (meV per atom) = -114
- SG = Fd-3m

abc: 5.330 5.330 5.330
angles: 60.00 60.00 60.00
Atoms (fractional coordinates):
Y (0.125, 0.125, 0.125)
Y (0.875, 0.875, 0.875)
Tc (0.000, 0.500, 0.500)
Tc (0.500, 0.000, 0.500)
Tc (0.500, 0.500, 0.000)
Tc (0.500, 0.500, 0.500)



(5)
Compound: Y5Tc
Source: Alexandria via LeMat-Bulk
Functional: PBEsol
Structure: optimized geometry

Values from the calculation:
- energy relative to the elements (meV per atom) = 23
- SG = C2/m

abc: 6.283 6.283 8.272
angles: 110.72 110.72 32.66
Atoms (fractional coordinates):
Y (0.000, 0.000, 0.000)
Y (0.339, 0.339, 0.218)
Y (0.367, 0.367, 0.632)
Y (0.633, 0.633, 0.368)
Y (0.661, 0.661, 0.782)
Tc (0.000, 0.000, 0.500)



(6)
Compound: YZnTc
Source: Alexandria via LeMat-Bulk
Functional: PBEsol
Structure: optimized geometry

Values from the calculation:
- energy relative to the elements (meV per atom) = 126
- SG = P-6m2

abc: 4.291 4.291 3.570
angles: 90.00 90.00 120.00
Atoms (fractional coordinates):
Y (0.000, 0.000, 0.000)
Zn (0.333, 0.667, 0.500)
Tc (0.667, 0.333, 0.500)



(7)
Compound: YZnTc2
Source: Alexandria via LeMat-Bulk
Functional: PBEsol
Structure: optimized geometry

Values from the calculation:
- energy relative to the elements (meV per atom) = 148
- SG = P4/mmm

abc: 3.356 3.356 6.158
angles: 90.00 90.00 90.00
Atoms (fractional coordinates):
Y (0.000, 0.000, 0.000)
Zn (0.000, 0.000, 0.500)
Tc (0.500, 0.500, 0.315)
Tc (0.500, 0.500, 0.685)



(8)
Compound: Y2ZnTc
Source: Alexandria via LeMat-Bulk
Functional: PBEsol
Structure: optimized geometry

Values from the calculation:
- energy relative to the elements (meV per atom) = -12
- SG = Imm2

abc: 5.743 5.743 5.743
angles: 144.15 131.76 61.54
Atoms (fractional coordinates):
Y (0.000, 0.000, 0.000)
Y (0.715, 0.215, 0.500)
Zn (0.269, 0.769, 0.500)
Tc (0.457, 0.457, 0.000)



(9)
Compound: YZnTc2
Source: Alexandria via LeMat-Bulk
Functional: PBEsol
Structure: optimized geometry

Values from the calculation:
- energy relative to the elements (meV per atom) = 228
- SG = Pmmm

abc: 3.415 4.338 4.426
angles: 90.00 90.00 90.00
Atoms (fractional coordinates):
Y (0.000, 0.000, 0.000)
Zn (0.500, 0.500, 0.000)
Tc (0.000, 0.500, 0.500)
Tc (0.500, 0.000, 0.500)



(10)
Compound: Y2ZnTc
Source: Alexandria via LeMat-Bulk
Functional: PBEsol
Structure: optimized geometry

Values from the calculation:
- energy relative to the elements (meV per atom) = 296
- SG = R3m

abc: 9.134 9.134 9.134
angles: 21.38 21.38 21.38
Atoms (fractional coordinates):
Y (0.000, 0.000, 0.000)
Y (0.216, 0.216, 0.216)
Zn (0.749, 0.749, 0.749)
Tc (0.477, 0.477, 0.477)



(11)
Compound: YZnTc2
Source: Alexandria via LeMat-Bulk
Functional: PBEsol
Structure: optimized geometry

Values from the calculation:
- energy relative to the elements (meV per atom) = 137
- SG = F-43m

abc: 4.520 4.520 4.520
angles: 60.00 60.00 60.00
Atoms (fractional coordinates):
Y (0.000, 0.000, 0.000)
Zn (0.250, 0.250, 0.250)
Tc (0.500, 0.500, 0.500)
Tc (0.750, 0.750, 0.750)



(12)
Compound: YZnTc2
Source: Alexandria via LeMat-Bulk
Functional: PBEsol
Structure: optimized geometry

Values from the calculation:
- energy relative to the elements (meV per atom) = 530
- SG = R-3m

abc: 9.693 9.693 9.693
angles: 16.61 16.61 16.61
Atoms (fractional coordinates):
Y (0.000, 0.000, 0.000)
Zn (0.500, 0.500, 0.500)
Tc (0.241, 0.241, 0.241)
Tc (0.759, 0.759, 0.759)



(13)
Compound: Y2ZnTc
Source: Alexandria via LeMat-Bulk
Functional: PBEsol
Structure: optimized geometry

Values from the calculation:
- energy relative to the elements (meV per atom) = -128
- SG = P4/mmm

abc: 3.470 3.470 6.832
angles: 90.00 90.00 90.00
Atoms (fractional coordinates):
Y (0.000, 0.000, 0.234)
Y (0.000, 0.000, 0.766)
Zn (0.500, 0.500, 0.500)
Tc (0.500, 0.500, 0.000)



(14)
Compound: Y2ZrTc
Source: Alexandria via LeMat-Bulk
Functional: PBEsol
Structure: optimized geometry

Values from the calculation:
- energy relative to the elements (meV per atom) = -44
- SG = Imm2

abc: 6.024 6.024 6.024
angles: 146.39 129.15 62.34
Atoms (fractional coordinates):
Y (0.000, 0.000, 0.000)
Y (0.708, 0.208, 0.500)
Zr (0.298, 0.798, 0.500)
Tc (0.480, 0.480, 0.000)



(15)
Compound: YZrTc4
Source: Alexandria via LeMat-Bulk
Functional: PBEsol
Structure: optimized geometry

Values from the calculation:
- energy relative to the elements (meV per atom) = -180
- SG = F-43m

abc: 5.264 5.264 5.264
angles: 60.00 60.00 60.00
Atoms (fractional coordinates):
Y (0.000, 0.000, 0.000)
Zr (0.750, 0.750, 0.750)
Tc (0.375, 0.375, 0.375)
Tc (0.375, 0.375, 0.874)
Tc (0.375, 0.874, 0.375)
Tc (0.874, 0.375, 0.375)



(16)
Compound: Y2ZrTc
Source: Alexandria via LeMat-Bulk
Functional: PBEsol
Structure: optimized geometry

Values from the calculation:
- energy relative to the elements (meV per atom) = 276
- SG = I4/mmm

abc: 5.781 5.781 5.781
angles: 137.57 137.57 61.56
Atoms (fractional coordinates):
Y (0.250, 0.750, 0.500)
Y (0.750, 0.250, 0.500)
Zr (0.000, 0.000, 0.000)
Tc (0.500, 0.500, 0.000)



(17)
Compound: Y2ZrTc
Source: Alexandria via LeMat-Bulk
Functional: PBEsol
Structure: optimized geometry

Values from the calculation:
- energy relative to the elements (meV per atom) = 341
- SG = C2/m

abc: 5.722 5.722 3.127
angles: 99.60 99.60 117.20
Atoms (fractional coordinates):
Y (0.000, 0.500, 0.000)
Y (0.500, 0.000, 0.000)
Zr (0.000, 0.000, 0.500)
Tc (0.500, 0.500, 0.500)



(18)
Compound: Zn5Tc24
Source: Alexandria via LeMat-Bulk
Functional: PBEsol
Structure: optimized geometry

Values from the calculation:
- energy relative to the elements (meV per atom) = 19
- SG = I-43m

abc: 8.131 8.131 8.131
angles: 109.47 109.47 109.47
Atoms (fractional coordinates):
Zn (0.000, 0.000, 0.000)
Zn (0.000, 0.000, 0.346)
Zn (0.000, 0.346, 0.000)
Zn (0.346, 0.000, 0.000)
Zn (0.654, 0.654, 0.654)
Tc (0.000, 0.319, 0.602)
Tc (0.000, 0.602, 0.319)
Tc (0.000, 0.623, 0.806)
Tc (0.000, 0.806, 0.623)
Tc (0.183, 0.377, 0.377)
Tc (0.194, 0.194, 0.817)
Tc (0.194, 0.817, 0.194)
Tc (0.283, 0.681, 0.681)
Tc (0.319, 0.000, 0.602)
Tc (0.319, 0.602, 0.000)
Tc (0.377, 0.183, 0.377)
Tc (0.377, 0.377, 0.183)
Tc (0.398, 0.398, 0.717)
Tc (0.398, 0.717, 0.398)
Tc (0.602, 0.000, 0.319)
Tc (0.602, 0.319, 0.000)
Tc (0.623, 0.000, 0.806)
Tc (0.623, 0.806, 0.000)
Tc (0.681, 0.283, 0.681)
Tc (0.681, 0.681, 0.283)
Tc (0.717, 0.398, 0.398)
Tc (0.806, 0.000, 0.623)
Tc (0.806, 0.623, 0.000)
Tc (0.817, 0.194, 0.194)



(19)
Compound: Zn7Tc
Source: Alexandria via LeMat-Bulk
Functional: PBEsol
Structure: optimized geometry

Values from the calculation:
- energy relative to the elements (meV per atom) = -54
- SG = Fm-3m

abc: 5.375 5.375 5.375
angles: 60.00 60.00 60.00
Atoms (fractional coordinates):
Zn (0.000, 0.000, 0.000)
Zn (0.000, 0.000, 0.500)
Zn (0.000, 0.500, 0.000)
Zn (0.000, 0.500, 0.500)
Zn (0.500, 0.000, 0.000)
Zn (0.500, 0.000, 0.500)
Zn (0.500, 0.500, 0.000)
Tc (0.500, 0.500, 0.500)



(20)
Compound: ZnTc3
Source: Alexandria via LeMat-Bulk
Functional: PBEsol
Structure: optimized geometry

Values from the calculation:
- energy relative to the elements (meV per atom) = 35
- SG = P-6m2

abc: 2.730 2.730 8.622
angles: 90.00 90.00 120.00
Atoms (fractional coordinates):
Zn (0.000, 0.000, 0.000)
Tc (0.000, 0.000, 0.500)
Tc (0.333, 0.667, 0.255)
Tc (0.333, 0.667, 0.745)